[1]
Entry from OQMD: a relaxed NaNdAu3O4 crystal (PBE-GGA).

Lattice parameters (Å, degrees): 5.608 5.608 5.608 90.00 90.00 90.00
Space group P-43m (No. 215)
Unique sites:
Na 0.000 0.000 0.000 [1 per cell]
Nd 0.500 0.500 0.500 [1 per cell]
Au 0.000 0.500 0.500 [3 per cell]
O 0.262 0.262 0.262 [4 per cell]



[2]
Entry from OQMD: a relaxed NaNdAu3Se4 crystal (PBE-GGA).

Lattice parameters (Å, degrees): 6.400 6.400 6.400 90.00 90.00 90.00
Space group P-43m (No. 215)
Unique sites:
Na 0.000 0.000 0.000 [1 per cell]
Nd 0.500 0.500 0.500 [1 per cell]
Au 0.000 0.500 0.500 [3 per cell]
Se 0.250 0.250 0.250 [4 per cell]



[3]
Entry from OQMD: a relaxed NaNiAuS3 crystal (PBE-GGA).

Lattice parameters (Å, degrees): 3.330 14.468 9.680 90.00 90.00 90.00
Space group Cmcm (No. 63)
Unique sites:
Na 0.000 0.202 0.250 [4 per cell]
Ni 0.000 0.500 0.000 [4 per cell]
Au 0.000 0.127 0.750 [4 per cell]
S 0.000 0.107 0.513 [8 per cell]
S 0.000 0.456 0.750 [4 per cell]



[4]
Entry from OQMD: a relaxed NaNiTeAuS2 crystal (PBE-GGA).

Lattice parameters (Å, degrees): 3.374 15.519 10.261 90.00 90.00 90.00
Space group Cmcm (No. 63)
Unique sites:
Na 0.000 0.230 0.250 [4 per cell]
Ni 0.000 0.500 0.000 [4 per cell]
Te 0.000 0.438 0.750 [4 per cell]
Au 0.000 0.116 0.750 [4 per cell]
S 0.000 0.099 0.523 [8 per cell]



[5]
Entry from OQMD: a relaxed NaNiTe2AuS crystal (PBE-GGA).

Lattice parameters (Å, degrees): 3.915 12.718 11.041 90.00 90.00 90.00
Space group Cmcm (No. 63)
Unique sites:
Na 0.000 0.222 0.250 [4 per cell]
Ni 0.000 0.500 0.000 [4 per cell]
Te 0.000 0.130 0.515 [8 per cell]
Au 0.000 0.090 0.750 [4 per cell]
S 0.000 0.454 0.750 [4 per cell]



[6]
Entry from OQMD: a relaxed NaNiWAu crystal (PBE-GGA).

Relative energy among the computed polymorphs = 0.000 eV per atom

Lattice parameters (Å, degrees): 6.326 6.326 6.326 90.00 90.00 90.00
Space group F-43m (No. 216)
Unique sites:
Na 0.000 0.000 0.000 [4 per cell]
Ni 0.250 0.250 0.250 [4 per cell]
W 0.000 0.000 0.500 [4 per cell]
Au 0.250 0.250 0.750 [4 per cell]



| no. | E (eV/atom) | total magnetization (μB/cell) |
| --- | --- | --- |
| 1 | -4.435 | 0.79 |
| 2 | -3.868 | 0.00 |
| 3 | -4.001 | 0.02 |
| 4 | -3.877 | 0.07 |
| 5 | -3.596 | 0.00 |
| 6 | -5.110 | 0.00 |